1.
! PBE CaIBr2, relaxed; values from VASP
! total DFT energy (no corrections): -12.66 eV per formula unit
! formation energy (no corrections): -139.0 kJ per mole of atoms
! total moment: 0.00 μB/atom
! offset from the most stable computed form: 0.047 eV per atom
&SYSTEM
  ibrav = 0, nat = 8, ntyp = 3
/
ATOMIC_SPECIES
Br 79.90 Br.upf
I 126.90 I.upf
Ca 40.08 Ca.upf
ATOMIC_POSITIONS crystal
Br 0.618 0.431 0.782
I 0.286 0.975 0.607
Ca 0.612 0.235 0.062
Br 0.382 0.569 0.218
Br 0.145 0.130 0.098
I 0.714 0.025 0.393
Ca 0.388 0.765 0.938
Br 0.855 0.870 0.902
CELL_PARAMETERS angstrom
-1.795 5.448 -0.120
-5.810 0.898 5.017
4.720 4.494 6.197

---

2.
! PBE CaIBr2, relaxed; values from VASP
! total DFT energy (no corrections): -12.84 eV per formula unit
! formation energy (no corrections): -143.5 kJ per mole of atoms
! total moment: 0.00 μB/atom
! offset from the most stable computed form: 0.000 eV per atom
&SYSTEM
  ibrav = 0, nat = 8, ntyp = 3
/
ATOMIC_SPECIES
Br 79.90 Br.upf
Ca 40.08 Ca.upf
I 126.90 I.upf
ATOMIC_POSITIONS crystal
Br 0.243 0.883 0.127
Br 0.255 0.612 0.871
Br 0.745 0.388 0.129
Br 0.757 0.117 0.873
Ca 0.749 0.747 0.997
Ca 0.251 0.253 0.003
I 0.590 0.043 0.599
I 0.410 0.957 0.401
CELL_PARAMETERS angstrom
4.364 0.000 0.000
0.033 7.449 0.000
0.192 1.754 12.004

---

3.
! PBE CaIBr, relaxed; values from VASP
! total DFT energy (no corrections): -10.72 eV per formula unit
! formation energy (no corrections): -176.7 kJ per mole of atoms
! total moment: 0.00 μB/atom
! offset from the most stable computed form: 0.002 eV per atom
&SYSTEM
  ibrav = 0, nat = 6, ntyp = 3
/
ATOMIC_SPECIES
I 126.90 I.upf
Br 79.90 Br.upf
Ca 40.08 Ca.upf
ATOMIC_POSITIONS crystal
I 0.273 0.000 0.251
Br 0.782 0.500 0.303
Br 0.218 0.500 0.697
Ca 0.500 0.500 0.500
Ca 0.000 0.000 0.500
I 0.727 0.000 0.749
CELL_PARAMETERS angstrom
7.632 0.000 0.000
0.000 4.400 0.000
-1.888 0.000 7.482

---

4.
! PBE Ca5I3Br12, relaxed; values from VASP
! total DFT energy (no corrections): -59.66 eV per formula unit
! formation energy (no corrections): -120.3 kJ per mole of atoms
! total moment: 0.25 μB/atom
&SYSTEM
  ibrav = 0, nat = 80, ntyp = 3
/
ATOMIC_SPECIES
Br 79.90 Br.upf
Ca 40.08 Ca.upf
I 126.90 I.upf
ATOMIC_POSITIONS crystal
Br 0.377 0.989 0.815
Br 0.562 0.877 0.389
Ca 0.875 0.250 0.625
Ca 0.375 0.250 0.125
Br 0.315 0.438 0.827
Br 0.185 0.673 0.062
Br 0.185 0.511 0.623
Ca 0.500 0.500 0.000
Br 0.011 0.623 0.685
Br 0.011 0.389 0.827
Br 0.438 0.123 0.611
I 0.625 0.375 0.750
Br 0.389 0.377 0.562
Br 0.685 0.123 0.011
Br 0.673 0.185 0.562
Ca 0.250 0.375 0.625
Br 0.173 0.111 0.989
Ca 0.125 0.375 0.250
Ca 0.750 0.625 0.375
I 0.250 0.125 0.375
Ca 0.125 0.750 0.375
Br 0.111 0.938 0.123
Br 0.673 0.489 0.611
Ca 0.625 0.875 0.250
Ca 0.250 0.875 0.125
Br 0.489 0.815 0.877
I 0.625 0.250 0.375
Br 0.562 0.685 0.673
I 0.250 0.625 0.875
Br 0.815 0.489 0.377
Ca 0.000 0.000 0.000
Br 0.989 0.611 0.173
Ca 0.875 0.625 0.750
Br 0.511 0.327 0.889
Br 0.315 0.877 0.989
Br 0.611 0.989 0.673
I 0.375 0.625 0.250
Ca 0.500 0.500 0.500
Br 0.938 0.111 0.623
I 0.750 0.875 0.625
Ca 0.500 0.000 0.000
Br 0.623 0.011 0.185
Br 0.623 0.611 0.938
Br 0.062 0.173 0.185
Br 0.989 0.377 0.315
Br 0.489 0.673 0.111
Br 0.827 0.938 0.315
Br 0.889 0.062 0.877
Br 0.827 0.889 0.011
I 0.750 0.375 0.125
Br 0.438 0.315 0.327
Br 0.877 0.562 0.889
I 0.875 0.750 0.125
Br 0.389 0.011 0.327
I 0.125 0.875 0.750
Ca 0.000 0.500 0.000
Br 0.327 0.815 0.438
Br 0.173 0.062 0.685
Br 0.815 0.327 0.938
Ca 0.750 0.125 0.875
Br 0.938 0.827 0.815
I 0.875 0.125 0.250
I 0.375 0.750 0.625
Br 0.111 0.173 0.489
Br 0.377 0.389 0.062
Br 0.327 0.511 0.389
Br 0.877 0.315 0.489
Br 0.511 0.185 0.123
Ca 0.375 0.125 0.750
Ca 0.625 0.750 0.875
Br 0.611 0.623 0.438
Br 0.889 0.827 0.511
Br 0.123 0.438 0.111
Ca 0.500 0.000 0.500
Br 0.062 0.889 0.377
Ca 0.000 0.500 0.500
Ca 0.000 0.000 0.500
I 0.125 0.250 0.875
Br 0.685 0.562 0.173
Br 0.123 0.685 0.511
CELL_PARAMETERS angstrom
-13.274 0.751 9.561
4.722 -15.602 -1.569
12.102 8.712 6.769

---

5.
! PBE Ca2IBr, relaxed; values from VASP
! total DFT energy (no corrections): -11.09 eV per formula unit
! formation energy (no corrections): -93.1 kJ per mole of atoms
! total moment: 0.42 μB/atom
! offset from the most stable computed form: 0.000 eV per atom
&SYSTEM
  ibrav = 0, nat = 8, ntyp = 3
/
ATOMIC_SPECIES
Ca 40.08 Ca.upf
I 126.90 I.upf
Br 79.90 Br.upf
ATOMIC_POSITIONS crystal
Ca 0.595 0.125 0.250
I 0.000 0.000 0.000
Br 0.500 0.500 0.000
Br 0.250 0.750 0.500
Ca 0.155 0.625 0.250
I 0.750 0.250 0.500
Ca 0.375 0.405 0.750
Ca 0.875 0.845 0.750
CELL_PARAMETERS angstrom
-0.440 6.501 -2.524
-4.980 1.477 4.674
2.212 6.099 5.652

---

6.
! PBE CaIBr, relaxed; values from VASP
! total DFT energy (no corrections): -10.35 eV per formula unit
! formation energy (no corrections): -165.0 kJ per mole of atoms
! total moment: 0.00 μB/atom
! offset from the most stable computed form: 0.123 eV per atom
&SYSTEM
  ibrav = 0, nat = 6, ntyp = 3
/
ATOMIC_SPECIES
Ca 40.08 Ca.upf
I 126.90 I.upf
Br 79.90 Br.upf
ATOMIC_POSITIONS crystal
Ca 0.973 0.500 0.190
I 0.714 0.000 0.935
Br 0.190 0.000 0.097
I 0.714 0.500 0.435
Ca 0.973 0.000 0.690
Br 0.190 0.500 0.597
CELL_PARAMETERS angstrom
-7.207 -0.010 -3.817
1.623 -2.470 -3.058
0.099 -5.699 4.656

---

What is the formula in the second record?
CaIBr2

---

Which value of total moment does entry 4 give?
0.25 μB/atom

---

What is the formula in the fourth record?
Ca5I3Br12